AlTl2S3 | PBE | relaxed

Output
Calculated density   5.29 g/cm³
Symmetry   Imm2
Calculated total energy   -3.9957 eV/atom

a = 3.8595 Å, b = 7.5171 Å, c = 7.1434 Å
α = 121.75°, β = 105.67°, γ = 90.00°
Fractional positions:
Al1 0.5000 0.2815 0.0000
Tl1 0.8593 0.5838 0.7185
Tl2 0.1407 0.8653 0.2815
S1 0.0000 0.1142 0.0000
S2 0.3347 0.2838 0.6694
S3 0.6653 0.6144 0.3306